# 1
This record from the Alexandria database describes an optimized crystal structure of Nd2AsBr2. The functional is PBE-GGA. Values from VASP.

Properties
Its space group is R-3m, No. 166. The formation energy without anion corrections comes out at -1.73 eV/atom. The value obtained for the density of states at the Fermi level is 1.9 states/eV/cell.

Cell and atoms, written as Quantum ESPRESSO input:
```
&SYSTEM
  ibrav = 0, nat = 5, ntyp = 3
/
ATOMIC_SPECIES
Nd 144.24 Nd.upf
As 74.92 As.upf
Br 79.90 Br.upf
CELL_PARAMETERS angstrom
2.118 1.223 10.775
-2.118 1.223 10.775
0.000 -2.446 10.775
ATOMIC_POSITIONS angstrom
Nd 0.000 0.000 3.740
Nd 0.000 0.000 28.586
As 0.000 0.000 16.163
Br 0.000 0.000 8.869
Br 0.000 0.000 23.457
```



# 2
This record from the Alexandria database describes an optimized crystal structure of Tm2CoPt. The functional is PBE-GGA. Values from VASP.

Properties
The value obtained for the energy of formation is -0.761 eV per atom. Its space group is P4/mmm, No. 123. The value obtained for the density of states at the Fermi level is 1.5 states/eV/cell.

Cell and atoms, written as Quantum ESPRESSO input:
```
&SYSTEM
  ibrav = 0, nat = 4, ntyp = 3
/
ATOMIC_SPECIES
Tm 168.93 Tm.upf
Co 58.93 Co.upf
Pt 195.08 Pt.upf
CELL_PARAMETERS angstrom
3.359 0.000 0.000
0.000 3.359 0.000
0.000 0.000 6.772
ATOMIC_POSITIONS angstrom
Tm 0.000 0.000 1.627
Tm 0.000 0.000 5.145
Co 1.679 1.679 0.000
Pt 1.679 1.679 3.386
```



# 3
This record from the Alexandria database describes an optimized crystal structure of La2PtBr. The functional is PBE-GGA. Values from VASP.

Properties
The value obtained for the energy above the most stable polymorph in this dataset is 983 meV/atom. Its space group is F-43m, No. 216. The formation energy without anion corrections comes out at -0.37 eV/atom. The value obtained for the density of states at the Fermi level is 3.2 states/eV/cell.

Cell and atoms, written as Quantum ESPRESSO input:
```
&SYSTEM
  ibrav = 0, nat = 4, ntyp = 3
/
ATOMIC_SPECIES
La 138.91 La.upf
Pt 195.08 Pt.upf
Br 79.90 Br.upf
CELL_PARAMETERS angstrom
0.000 3.686 3.686
3.686 0.000 3.686
3.686 3.686 0.000
ATOMIC_POSITIONS angstrom
La 0.000 0.000 0.000
La 1.843 1.843 1.843
Pt 5.529 5.529 5.529
Br 3.686 3.686 3.686
```



# 4
This record from the Alexandria database describes an optimized crystal structure of Ti2MnRhC. The functional is PBE-GGA. Values from VASP.

Properties
The value obtained for the energy of formation is -0.474 eV per atom. Its space group is P4/mmm, No. 123. The value obtained for the density of states at the Fermi level is 4.6 states/eV/cell.

Cell and atoms, written as Quantum ESPRESSO input:
```
&SYSTEM
  ibrav = 0, nat = 5, ntyp = 4
/
ATOMIC_SPECIES
Ti 47.87 Ti.upf
Mn 54.94 Mn.upf
Rh 102.91 Rh.upf
C 12.01 C.upf
CELL_PARAMETERS angstrom
4.223 0.000 0.000
0.000 4.223 0.000
0.000 0.000 3.631
ATOMIC_POSITIONS angstrom
Ti 0.000 2.111 0.000
Ti 2.111 0.000 0.000
Mn 0.000 0.000 1.816
Rh 2.111 2.111 1.816
C 0.000 0.000 0.000
```